VAgS2O8 PBE+U optimized geometry; space group = R-3; VASP energy = -6.207 eV per atom
1.0
-1.4344 -4.5830 -0.2947
3.2529 -3.5130 -0.4746
1.0455 -3.3305 7.4309
O S Ag V
8 2 1 1
direct
0.5852 0.2546 0.1589
0.7454 0.9987 0.8411
0.1951 0.1951 0.4147
0.8049 0.8049 0.5853
0.9987 0.4148 0.8411
0.4148 0.7454 0.8411
0.2546 0.0013 0.1589
0.0013 0.5852 0.1589
0.7417 0.7417 0.7750
0.2583 0.2583 0.2250
0.5000 0.5000 0.5000
0.0000 0.0000 0.0000